Entry 1:
A plane-wave DFT calculation with GGA-PBE was carried out for K6Ag3Au after structural relaxation.

Unit cell a=6.8567 b=10.0359 c=10.5279 alpha=89.65 beta=90.00 gamma=90.00
Last column: nearest neighbours and their distance in Å.
Element x y z (fractional)
K 0.9248 0.3274 0.0713  1 Au 3.41, 3 Ag 3.47-3.72, 2 K 3.74-3.77
K 0.9164 0.3338 0.4295  1 Au 3.39, 2 Ag 3.47-3.67, 2 K 3.74-3.77
K 0.7571 0.1594 0.7549  3 Ag 3.38-3.59, 1 Au 3.46
K 0.2429 0.8406 0.2451  3 Ag 3.38-3.59, 1 Au 3.46
K 0.0836 0.6662 0.5705  1 Au 3.39, 2 Ag 3.47-3.67, 2 K 3.74-3.77
K 0.0752 0.6726 0.9287  1 Au 3.41, 3 Ag 3.47-3.72, 2 K 3.74-3.77
K 0.5752 0.8274 0.5713  1 Au 3.41, 3 Ag 3.47-3.72, 2 K 3.74-3.77
K 0.5836 0.8338 0.9295  1 Au 3.39, 2 Ag 3.47-3.67, 2 K 3.74-3.77
K 0.7429 0.6594 0.2549  3 Ag 3.38-3.59, 1 Au 3.46
K 0.2571 0.3406 0.7451  3 Ag 3.38-3.59, 1 Au 3.46
K 0.4164 0.1662 0.0705  1 Au 3.39, 2 Ag 3.47-3.67, 2 K 3.74-3.77
K 0.4248 0.1726 0.4287  1 Au 3.41, 3 Ag 3.47-3.72, 2 K 3.74-3.77
Ag 0.3198 0.4863 0.2507  1 Au 2.90, 1 Ag 2.92
Ag 0.5000 0.5000 0.0000  2 Ag 2.92
Ag 0.6802 0.5137 0.7493  1 Au 2.90, 1 Ag 2.92
Ag 0.1802 0.9863 0.7507  1 Au 2.90, 1 Ag 2.92
Ag 0.0000 0.0000 0.5000  2 Ag 2.92
Ag 0.8198 0.0137 0.2493  1 Au 2.90, 1 Ag 2.92
Au 0.5000 0.5000 0.5000  2 Ag 2.90
Au 0.0000 0.0000 0.0000  2 Ag 2.90

Volume in A^3/atom: 36.22
ΔE_f in eV/atom: -0.003
Space group: No. 14
ρ in Mg/m³: 3.46



Entry 2:
A plane-wave DFT calculation with GGA-PBE was carried out for BaZr2Rh2 after structural relaxation.

Unit cell a=8.3121 b=8.3121 c=3.2523 alpha=90.00 beta=90.00 gamma=90.00
Last column: nearest neighbours and their distance in Å.
Element x y z (fractional)
Rh 0.3660 0.8660 0.0000  6 Zr 2.80-3.11
Rh 0.8660 0.6340 0.0000  6 Zr 2.80-3.11
Rh 0.6340 0.1340 0.0000  6 Zr 2.80-3.11
Rh 0.1340 0.3660 0.0000  6 Zr 2.80-3.11
Ba 0.0000 0.0000 0.0000  4 Rh 3.24, 2 Ba 3.25, 8 Zr 3.60
Ba 0.5000 0.5000 0.0000  4 Rh 3.24, 2 Ba 3.25, 8 Zr 3.60
Zr 0.1408 0.6408 0.5000  6 Rh 2.80-3.11
Zr 0.6408 0.8592 0.5000  6 Rh 2.80-3.11
Zr 0.8592 0.3592 0.5000  6 Rh 2.80-3.11
Zr 0.3592 0.1408 0.5000  6 Rh 2.80-3.11

Volume in A^3/atom: 22.47
ΔE_f in eV/atom: -0.221
E above lowest polymorph in eV per atom: 0.2389
Space group: No. 127
ρ in Mg/m³: 7.77



Entry 3:
A plane-wave DFT calculation with GGA-PBE was carried out for CuMoH2 after structural relaxation.

Unit cell a=2.9452 b=2.9452 c=5.1367 alpha=73.34 beta=73.34 gamma=60.00
Last column: nearest neighbours and their distance in Å.
Element x y z (fractional)
H 0.1128 0.1128 0.6616  1 Cu 1.64
H 0.8872 0.8872 0.3384  1 Cu 1.64
Mo 0.5000 0.5000 0.5000  6 H 1.87
Cu 0.0000 0.0000 0.0000  2 H 1.64

Volume in A^3/atom: 9.10
E above lowest polymorph in eV per atom: 0.0000
Space group: No. 166
ρ in Mg/m³: 7.37



Entry 4:
A plane-wave DFT calculation with GGA-PBE was carried out for KBeRh after structural relaxation.

Unit cell a=4.5865 b=4.5865 c=4.5865 alpha=60.00 beta=60.00 gamma=60.00
Last column: nearest neighbours and their distance in Å.
Element x y z (fractional)
Be 0.5000 0.5000 0.5000  4 K 2.81
K 0.7500 0.7500 0.7500  4 Rh 2.81, 4 Be 2.81
Rh 0.0000 0.0000 0.0000  4 K 2.81

Volume in A^3/atom: 22.74
ΔE_f in eV/atom: 1.818
E above lowest polymorph in eV per atom: 1.7890
Space group: No. 216
ρ in Mg/m³: 3.68



Entry 5:
A plane-wave DFT calculation with GGA-PBE was carried out for PrSmIn3 after structural relaxation.

Unit cell a=5.9189 b=5.9189 c=12.1455 alpha=104.10 beta=104.10 gamma=90.00
Last column: nearest neighbours and their distance in Å.
Element x y z (fractional)
Pr 0.0000 0.0000 0.0000  4 In 3.17
Pr 0.2500 0.7500 0.5000  8 In 2.96-3.25
Sm 0.6692 0.1692 0.3384  8 In 3.47-3.50, 1 Sm 3.69
Sm 0.8308 0.3308 0.6616  8 In 3.47-3.50, 1 Sm 3.69
In 0.6245 0.8773 0.7545  2 In 2.93-2.99, 2 Pr 3.17-3.25
In 0.1227 0.8700 0.2455  2 In 2.93-2.99, 2 Pr 3.17-3.25
In 0.1227 0.3755 0.2455  2 In 2.93-2.99, 2 Pr 3.17-3.25
In 0.1300 0.8773 0.7545  2 In 2.93-2.99, 2 Pr 3.17-3.25
In 0.2510 0.2510 0.5019  2 Pr 2.96, 2 In 3.28
In 0.7490 0.7490 0.4981  2 Pr 2.96, 2 In 3.28

Volume in A^3/atom: 39.94
ΔE_f in eV/atom: 0.085
Space group: No. 119
ρ in Mg/m³: 5.29



Entry 6:
A plane-wave DFT calculation with GGA-PBE was carried out for CrTc2Pt after structural relaxation.

Unit cell a=2.7085 b=2.7085 c=7.7180 alpha=90.00 beta=90.00 gamma=90.00
Last column: nearest neighbours and their distance in Å.
Element x y z (fractional)
Cr 0.0000 0.0000 0.4941  4 Tc 2.65, 4 Pt 2.69, 4 Cr 2.71
Pt 0.5000 0.5000 0.7381  4 Cr 2.69, 4 Pt 2.71, 4 Tc 2.84
Tc 0.0000 0.0000 0.0103  8 Tc 2.70-2.71, 4 Pt 2.84
Tc 0.5000 0.5000 0.2576  4 Cr 2.65, 8 Tc 2.70-2.71

Volume in A^3/atom: 14.16
ΔE_f in eV/atom: -0.026
E above lowest polymorph in eV per atom: 0.0719
Space group: No. 99
ρ in Mg/m³: 12.99